# 1
A plane-wave DFT calculation with PBE-GGA was carried out for a relaxed YAg3Os crystal.

Computed properties:
ΔE_f: 2.07 eV/atom
Relative energy among the computed polymorphs: 1.117 eV per atom
Total magnetic moment: 2.69 Bohr magnetons per cell
DOS at the Fermi energy: 5.59 states/eV per cell

a b c (Å): 5.198 5.198 5.198
angles (deg): 90.00 90.00 90.00
Positions (direct):
Y 0.000 0.000 0.000
Ag 0.000 0.000 0.500
Ag 0.000 0.500 0.000
Ag 0.500 0.000 0.000
Os 0.500 0.500 0.500

# 2
A plane-wave DFT calculation with PBE-GGA was carried out for a relaxed La6NdCd5 crystal.

Computed properties:
ΔE_f: -0.24 eV/atom
Total magnetic moment: 0.89 Bohr magnetons per cell
DOS at the Fermi energy: 17.07 states/eV per cell

a b c (Å): 5.610 7.847 8.974
angles (deg): 90.00 108.31 90.00
Positions (direct):
La 0.000 0.232 0.000
La 0.000 0.768 0.000
La 0.329 0.249 0.654
La 0.329 0.751 0.654
La 0.671 0.249 0.346
La 0.671 0.751 0.346
Nd 0.500 0.500 0.000
Cd 0.155 0.500 0.313
Cd 0.164 0.000 0.333
Cd 0.500 0.000 0.000
Cd 0.836 0.000 0.667
Cd 0.845 0.500 0.687

# 3
A plane-wave DFT calculation with PBE-GGA was carried out for a relaxed AcCdBiPb crystal.

Computed properties:
ΔE_f: -0.30 eV/atom
Relative energy among the computed polymorphs: 0.145 eV per atom
Total magnetic moment: 0.00 Bohr magnetons per cell
DOS at the Fermi energy: 3.31 states/eV per cell

a b c (Å): 5.698 5.698 5.698
angles (deg): 60.00 60.00 60.00
Positions (direct):
Ac 0.000 0.000 0.000
Cd 0.750 0.750 0.750
Bi 0.250 0.250 0.250
Pb 0.500 0.500 0.500

# 4
A plane-wave DFT calculation with PBE-GGA was carried out for a relaxed CeTmInAu crystal.

Computed properties:
ΔE_f: -0.49 eV/atom
Total magnetic moment: 0.96 Bohr magnetons per cell
DOS at the Fermi energy: 9.84 states/eV per cell

a b c (Å): 5.273 5.273 5.273
angles (deg): 60.00 60.00 60.00
Positions (direct):
Ce 0.000 0.000 0.000
Tm 0.500 0.500 0.500
In 0.250 0.250 0.250
Au 0.750 0.750 0.750